[1]
# PrP3H6O12 (PBEsol, relaxed)
# E, eV/cell: -147.33
# Total magnetization, μB per cell: 0.0
data_PrP3H6O12
_symmetry_space_group_name_H-M 'P -6'
_symmetry_Int_Tables_number 174
_cell_length_a 6.5976
_cell_length_b 6.5976
_cell_length_c 6.1366
_cell_angle_alpha 90.00
_cell_angle_beta 90.00
_cell_angle_gamma 120.00
loop_
_symmetry_equiv_pos_as_xyz
'x,y,z'
'-x+y,-x,-z'
'-y,x-y,z'
'x,y,-z'
'-x+y,-x,z'
'-y,x-y,-z'
loop_
_atom_site_label
_atom_site_fract_x
_atom_site_fract_y
_atom_site_fract_z
Pr1 0.0000 0.0000 0.0000
P1 0.3839 0.2822 0.5000
H1 0.0346 0.4937 0.1261
O1 0.0026 0.7356 0.2887
O2 0.0252 0.3970 0.0000
O3 0.4710 0.0948 0.5000



[2]
# RbP2H3O6 (PBEsol, relaxed)
# E, eV/cell: -149.56
# Total magnetization, μB per cell: 0.0
data_RbP2H3O6
_symmetry_space_group_name_H-M 'P -1'
_symmetry_Int_Tables_number 2
_cell_length_a 7.255
_cell_length_b 7.395
_cell_length_c 7.623
_cell_angle_alpha 89.79
_cell_angle_beta 63.97
_cell_angle_gamma 63.32
loop_
_symmetry_equiv_pos_as_xyz
'x,y,z'
'-x,-y,-z'
loop_
_atom_site_label
_atom_site_fract_x
_atom_site_fract_y
_atom_site_fract_z
Rb1 0.039 0.302 0.272
P1 0.335 0.028 0.631
P2 0.460 0.572 0.147
H1 0.081 0.804 0.286
H2 0.341 0.240 0.840
H3 0.466 0.694 0.670
O1 0.132 0.196 0.609
O2 0.249 0.799 0.210
O3 0.319 0.425 0.883
O4 0.332 0.821 0.635
O5 0.345 0.090 0.820
O6 0.380 0.448 0.296



[3]
# RbPH2O2 (PBEsol, relaxed)
# E, eV/cell: -127.07
# Total magnetization, μB per cell: 0.0
data_RbPH2O2
_symmetry_space_group_name_H-M 'P n m a'
_symmetry_Int_Tables_number 62
_cell_length_a 7.933
_cell_length_b 6.373
_cell_length_c 7.517
_cell_angle_alpha 90.00
_cell_angle_beta 90.00
_cell_angle_gamma 90.00
loop_
_symmetry_equiv_pos_as_xyz
'x,y,z'
'-x,-y,-z'
'-x+1/2,-y,z+1/2'
'x+1/2,y,-z+1/2'
'x+1/2,-y+1/2,-z+1/2'
'-x+1/2,y+1/2,z+1/2'
'-x,y+1/2,-z'
'x,-y+1/2,z'
loop_
_atom_site_label
_atom_site_fract_x
_atom_site_fract_y
_atom_site_fract_z
Rb1 0.130 0.250 0.141
P1 0.122 0.250 0.677
H1 0.023 0.750 0.437
H2 0.243 0.750 0.050
O1 0.126 0.046 0.780



Looking at density of states at the Fermi level for the records above, in order, we have 0.00; 0.00; 0.00 states/eV per cell.